AlCrAs2Au | PBE | optimized geometry Values from VASP.

ΔE_f	0.814	eV per atom
space group	No. 123
polymorph energy (0 for the lowest one)	0	meV/atom

Cell and atoms, written as Quantum ESPRESSO input:
```
&SYSTEM
  ibrav = 0, nat = 5, ntyp = 4
/
ATOMIC_SPECIES
Al 26.98 Al.upf
Cr 52.00 Cr.upf
As 74.92 As.upf
Au 196.97 Au.upf
CELL_PARAMETERS angstrom
4.7408 0.0000 0.0000
0.0000 4.7408 0.0000
0.0000 0.0000 4.8731
ATOMIC_POSITIONS angstrom
Al 0.0000 0.0000 0.0000
Cr 0.0000 0.0000 2.4365
As 0.0000 2.3704 0.0000
As 2.3704 0.0000 0.0000
Au 2.3704 2.3704 2.4365
```

HfAl2AsAu | PBE | optimized geometry Values from VASP.

ΔE_f	0.261	eV per atom
space group	No. 123

Cell and atoms, written as Quantum ESPRESSO input:
```
&SYSTEM
  ibrav = 0, nat = 5, ntyp = 4
/
ATOMIC_SPECIES
Hf 178.49 Hf.upf
Al 26.98 Al.upf
As 74.92 As.upf
Au 196.97 Au.upf
CELL_PARAMETERS angstrom
4.6433 0.0000 0.0000
0.0000 4.6433 0.0000
0.0000 0.0000 5.4181
ATOMIC_POSITIONS angstrom
Hf 0.0000 0.0000 0.0000
Al 0.0000 2.3217 2.7090
Al 2.3217 0.0000 2.7090
As 2.3217 2.3217 0.0000
Au 0.0000 0.0000 2.7090
```

Al2InAsAu | PBE | optimized geometry Values from VASP.

ΔE_f	0.308	eV per atom
space group	No. 123

Cell and atoms, written as Quantum ESPRESSO input:
```
&SYSTEM
  ibrav = 0, nat = 5, ntyp = 4
/
ATOMIC_SPECIES
Al 26.98 Al.upf
In 114.82 In.upf
As 74.92 As.upf
Au 196.97 Au.upf
CELL_PARAMETERS angstrom
4.8377 0.0000 0.0000
0.0000 4.8377 0.0000
0.0000 0.0000 5.3901
ATOMIC_POSITIONS angstrom
Al 0.0000 2.4189 0.0000
Al 2.4189 0.0000 0.0000
In 0.0000 0.0000 2.6950
As 2.4189 2.4189 2.6950
Au 2.4189 2.4189 0.0000
```

LiAlAsAu | PBE | optimized geometry Values from VASP.

ΔE_f	-0.331	eV per atom
space group	No. 216

Cell and atoms, written as Quantum ESPRESSO input:
```
&SYSTEM
  ibrav = 0, nat = 4, ntyp = 4
/
ATOMIC_SPECIES
Li 6.94 Li.upf
Al 26.98 Al.upf
As 74.92 As.upf
Au 196.97 Au.upf
CELL_PARAMETERS angstrom
0.0000 3.2207 3.2207
3.2207 0.0000 3.2207
3.2207 3.2207 0.0000
ATOMIC_POSITIONS angstrom
Li 0.0000 0.0000 0.0000
Al 3.2207 3.2207 3.2207
As 1.6103 1.6103 1.6103
Au 4.8310 4.8310 4.8310
```

MgAlAsAu2 | PBE | optimized geometry Values from VASP.

ΔE_f	0.463	eV per atom
space group	No. 123

Cell and atoms, written as Quantum ESPRESSO input:
```
&SYSTEM
  ibrav = 0, nat = 5, ntyp = 4
/
ATOMIC_SPECIES
Mg 24.30 Mg.upf
Al 26.98 Al.upf
As 74.92 As.upf
Au 196.97 Au.upf
CELL_PARAMETERS angstrom
4.7632 0.0000 0.0000
0.0000 4.7632 0.0000
0.0000 0.0000 5.2299
ATOMIC_POSITIONS angstrom
Mg 0.0000 0.0000 0.0000
Al 0.0000 0.0000 2.6150
As 2.3816 2.3816 0.0000
Au 0.0000 2.3816 2.6150
Au 2.3816 0.0000 2.6150
```

AlAsPAu2 | PBE | optimized geometry Values from VASP.

ΔE_f	0.463	eV per atom
space group	No. 123

Cell and atoms, written as Quantum ESPRESSO input:
```
&SYSTEM
  ibrav = 0, nat = 5, ntyp = 4
/
ATOMIC_SPECIES
Al 26.98 Al.upf
As 74.92 As.upf
P 30.97 P.upf
Au 196.97 Au.upf
CELL_PARAMETERS angstrom
4.7100 0.0000 0.0000
0.0000 4.7100 0.0000
0.0000 0.0000 4.8344
ATOMIC_POSITIONS angstrom
Al 0.0000 0.0000 0.0000
As 2.3550 2.3550 0.0000
P 0.0000 0.0000 2.4172
Au 0.0000 2.3550 2.4172
Au 2.3550 0.0000 2.4172
```

AlAs2AuSe | PBE | optimized geometry Values from VASP.

uncorrected formation energy	580	meV/atom
space group	No. 123
polymorph energy (0 for the lowest one)	0	meV/atom

Cell and atoms, written as Quantum ESPRESSO input:
```
&SYSTEM
  ibrav = 0, nat = 5, ntyp = 4
/
ATOMIC_SPECIES
Al 26.98 Al.upf
As 74.92 As.upf
Au 196.97 Au.upf
Se 78.96 Se.upf
CELL_PARAMETERS angstrom
4.8478 0.0000 0.0000
0.0000 4.8478 0.0000
0.0000 0.0000 4.8188
ATOMIC_POSITIONS angstrom
Al 0.0000 0.0000 0.0000
As 0.0000 2.4239 0.0000
As 2.4239 0.0000 0.0000
Au 2.4239 2.4239 2.4094
Se 0.0000 0.0000 2.4094
```

AlAs2AuSe | PBE | optimized geometry Values from VASP.

uncorrected formation energy	804	meV/atom
space group	No. 123
polymorph energy (0 for the lowest one)	224	meV/atom

Cell and atoms, written as Quantum ESPRESSO input:
```
&SYSTEM
  ibrav = 0, nat = 5, ntyp = 4
/
ATOMIC_SPECIES
Al 26.98 Al.upf
As 74.92 As.upf
Au 196.97 Au.upf
Se 78.96 Se.upf
CELL_PARAMETERS angstrom
5.0309 0.0000 0.0000
0.0000 5.0309 0.0000
0.0000 0.0000 5.2281
ATOMIC_POSITIONS angstrom
Al 0.0000 0.0000 0.0000
As 0.0000 2.5155 2.6140
As 2.5155 0.0000 2.6140
Au 2.5155 2.5155 2.6140
Se 2.5155 2.5155 0.0000
```

ZrAlAsAu2 | PBE | optimized geometry Values from VASP.

ΔE_f	0.343	eV per atom
space group	No. 123

Cell and atoms, written as Quantum ESPRESSO input:
```
&SYSTEM
  ibrav = 0, nat = 5, ntyp = 4
/
ATOMIC_SPECIES
Zr 91.22 Zr.upf
Al 26.98 Al.upf
As 74.92 As.upf
Au 196.97 Au.upf
CELL_PARAMETERS angstrom
4.6462 0.0000 0.0000
0.0000 4.6462 0.0000
0.0000 0.0000 5.2477
ATOMIC_POSITIONS angstrom
Zr 0.0000 0.0000 0.0000
Al 0.0000 0.0000 2.6239
As 2.3231 2.3231 0.0000
Au 0.0000 2.3231 2.6239
Au 2.3231 0.0000 2.6239
```

AlB2As | PBE | optimized geometry Values from VASP.

ΔE_f	1.241	eV per atom
space group	No. 225
polymorph energy (0 for the lowest one)	741	meV/atom

Cell and atoms, written as Quantum ESPRESSO input:
```
&SYSTEM
  ibrav = 0, nat = 4, ntyp = 3
/
ATOMIC_SPECIES
Al 26.98 Al.upf
B 10.81 B.upf
As 74.92 As.upf
CELL_PARAMETERS angstrom
0.0000 2.8866 2.8866
2.8866 0.0000 2.8866
2.8866 2.8866 0.0000
ATOMIC_POSITIONS angstrom
Al 0.0000 0.0000 0.0000
B 1.4433 1.4433 1.4433
B 4.3299 4.3299 4.3299
As 2.8866 2.8866 2.8866
```

AlB2As | PBE | optimized geometry Values from VASP.

ΔE_f	0.500	eV per atom
space group	No. 122
polymorph energy (0 for the lowest one)	0	meV/atom

Cell and atoms, written as Quantum ESPRESSO input:
```
&SYSTEM
  ibrav = 0, nat = 8, ntyp = 3
/
ATOMIC_SPECIES
Al 26.98 Al.upf
B 10.81 B.upf
As 74.92 As.upf
CELL_PARAMETERS angstrom
-2.5339 2.5339 4.5551
2.5339 -2.5339 4.5551
2.5339 2.5339 -4.5551
ATOMIC_POSITIONS angstrom
Al 0.0000 0.0000 0.0000
Al 0.0000 2.5339 2.2776
B 1.2670 -1.1575 3.4163
B 1.3764 1.2670 1.1388
B 1.2670 3.6914 -1.1388
B 1.1575 1.2670 5.6939
As 2.5339 0.0000 2.2776
As 0.0000 0.0000 4.5551
```

AlBAs2 | PBE | optimized geometry Values from VASP.

ΔE_f	0.905	eV per atom
space group	No. 225
polymorph energy (0 for the lowest one)	1034	meV/atom

Cell and atoms, written as Quantum ESPRESSO input:
```
&SYSTEM
  ibrav = 0, nat = 4, ntyp = 3
/
ATOMIC_SPECIES
Al 26.98 Al.upf
B 10.81 B.upf
As 74.92 As.upf
CELL_PARAMETERS angstrom
0.0000 3.1475 3.1475
3.1475 0.0000 3.1475
3.1475 3.1475 0.0000
ATOMIC_POSITIONS angstrom
Al 0.0000 0.0000 0.0000
B 3.1475 3.1475 3.1475
As 1.5738 1.5738 1.5738
As 4.7213 4.7213 4.7213
```

What did the fifth record say?
MgAlAsAu2 | PBE | optimized geometry Values from VASP.

ΔE_f	0.463	eV per atom
space group	No. 123

Cell and atoms, written as Quantum ESPRESSO input:
```
&SYSTEM
  ibrav = 0, nat = 5, ntyp = 4
/
ATOMIC_SPECIES
Mg 24.30 Mg.upf
Al 26.98 Al.upf
As 74.92 As.upf
Au 196.97 Au.upf
CELL_PARAMETERS angstrom
4.7632 0.0000 0.0000
0.0000 4.7632 0.0000
0.0000 0.0000 5.2299
ATOMIC_POSITIONS angstrom
Mg 0.0000 0.0000 0.0000
Al 0.0000 0.0000 2.6150
As 2.3816 2.3816 0.0000
Au 0.0000 2.3816 2.6150
Au 2.3816 0.0000 2.6150
```